1.
Compound: TaTlFe3
Source: Alexandria via LeMat-Bulk
Functional: PBE
Structure: relaxed Values from VASP.

Cell and atoms, written as Quantum ESPRESSO input:
```
&SYSTEM
  ibrav = 0, nat = 5, ntyp = 3
/
ATOMIC_SPECIES
Ta 180.95 Ta.upf
Tl 204.38 Tl.upf
Fe 55.84 Fe.upf
CELL_PARAMETERS angstrom
4.614 0.000 0.000
0.000 4.614 0.000
0.000 0.000 4.614
ATOMIC_POSITIONS crystal
Ta 0.000 0.000 0.000
Tl 0.500 0.500 0.500
Fe 0.000 0.000 0.500
Fe 0.000 0.500 0.000
Fe 0.500 0.000 0.000
```

Calculated values
* total energy: -6.55 eV/atom
* distance to the lowest polymorph of the same formula: 0.0 meV/atom
* symmetry: Pm-3m
* density: 9.35 g/cm³
* V: 19.64 Å³/atom
* E_form: 1.368 eV per atom

2.
Compound: SmMg2Si
Source: Alexandria via LeMat-Bulk
Functional: PBE
Structure: relaxed Values from VASP.

Cell and atoms, written as Quantum ESPRESSO input:
```
&SYSTEM
  ibrav = 0, nat = 4, ntyp = 3
/
ATOMIC_SPECIES
Sm 150.36 Sm.upf
Mg 24.30 Mg.upf
Si 28.09 Si.upf
CELL_PARAMETERS angstrom
4.331 0.000 0.000
0.000 4.331 0.000
0.000 0.000 4.740
ATOMIC_POSITIONS crystal
Sm 0.000 0.000 0.000
Mg 0.000 0.500 0.500
Mg 0.500 0.000 0.500
Si 0.500 0.500 0.000
```

Calculated values
* total energy: -3.63 eV/atom
* symmetry: P4/mmm
* energy relative to the elements, uncorrected: -299 meV per atom
* density: 4.24 g/cm³
* V: 22.23 Å³/atom

3.
Compound: ScOs2SeCl
Source: Alexandria via LeMat-Bulk
Functional: PBE
Structure: relaxed Values from VASP.

Cell and atoms, written as Quantum ESPRESSO input:
```
&SYSTEM
  ibrav = 0, nat = 5, ntyp = 4
/
ATOMIC_SPECIES
Sc 44.96 Sc.upf
Os 190.23 Os.upf
Se 78.96 Se.upf
Cl 35.45 Cl.upf
CELL_PARAMETERS angstrom
5.005 0.000 0.000
0.000 5.005 0.000
0.000 0.000 4.972
ATOMIC_POSITIONS crystal
Sc 0.000 0.000 0.000
Os 0.000 0.500 0.000
Os 0.500 0.000 0.000
Se 0.000 0.000 0.500
Cl 0.500 0.500 0.500
```

Calculated values
* total energy: -5.01 eV/atom
* symmetry: P4/mmm
* energy relative to the elements, uncorrected: 1814 meV per atom
* density: 7.20 g/cm³
* V: 24.91 Å³/atom

4.
Compound: SnRhS2O8
Source: Alexandria via LeMat-Bulk
Functional: PBE
Structure: relaxed Values from VASP.

Cell and atoms, written as Quantum ESPRESSO input:
```
&SYSTEM
  ibrav = 0, nat = 12, ntyp = 4
/
ATOMIC_SPECIES
Sn 118.71 Sn.upf
Rh 102.91 Rh.upf
S 32.06 S.upf
O 16.00 O.upf
CELL_PARAMETERS angstrom
4.137 -2.724 0.000
4.137 2.724 0.000
-0.659 0.000 7.491
ATOMIC_POSITIONS crystal
Sn 0.000 0.000 0.000
Rh 0.000 0.000 0.500
S 0.359 0.359 0.725
S 0.641 0.641 0.275
O 0.240 0.690 0.724
O 0.247 0.247 0.560
O 0.278 0.278 0.894
O 0.310 0.760 0.276
O 0.690 0.240 0.724
O 0.722 0.722 0.106
O 0.753 0.753 0.440
O 0.760 0.310 0.276
```

Calculated values
* total energy: -6.03 eV/atom
* symmetry: C2/m
* energy relative to the elements, uncorrected: -1086 meV per atom
* density: 4.07 g/cm³
* V: 14.07 Å³/atom

5.
Compound: Ca6AgPb5
Source: Alexandria via LeMat-Bulk
Functional: PBE
Structure: relaxed Values from VASP.

Cell and atoms, written as Quantum ESPRESSO input:
```
&SYSTEM
  ibrav = 0, nat = 12, ntyp = 3
/
ATOMIC_SPECIES
Ca 40.08 Ca.upf
Ag 107.87 Ag.upf
Pb 207.20 Pb.upf
CELL_PARAMETERS angstrom
2.790 -8.345 0.000
2.790 8.345 0.000
0.000 0.000 7.629
ATOMIC_POSITIONS crystal
Ca 0.000 0.000 0.243
Ca 0.000 0.000 0.757
Ca 0.336 0.664 0.242
Ca 0.336 0.664 0.758
Ca 0.664 0.336 0.242
Ca 0.664 0.336 0.758
Ag 0.500 0.500 0.000
Pb 0.162 0.838 0.000
Pb 0.166 0.834 0.500
Pb 0.500 0.500 0.500
Pb 0.834 0.166 0.500
Pb 0.838 0.162 0.000
```

Calculated values
* total energy: -3.28 eV/atom
* symmetry: Cmmm
* density: 6.47 g/cm³
* V: 29.60 Å³/atom
* E_form: -0.499 eV per atom

6.
Compound: NaAl4Zn2
Source: Alexandria via LeMat-Bulk
Functional: PBE
Structure: relaxed Values from VASP.

Cell and atoms, written as Quantum ESPRESSO input:
```
&SYSTEM
  ibrav = 0, nat = 7, ntyp = 3
/
ATOMIC_SPECIES
Na 22.99 Na.upf
Al 26.98 Al.upf
Zn 65.41 Zn.upf
CELL_PARAMETERS angstrom
1.982 -8.077 0.000
1.982 8.077 0.000
0.000 0.000 4.084
ATOMIC_POSITIONS crystal
Na 0.000 0.000 0.000
Al 0.185 0.815 0.500
Al 0.313 0.687 0.000
Al 0.687 0.313 0.000
Al 0.815 0.185 0.500
Zn 0.423 0.577 0.500
Zn 0.577 0.423 0.500
```

Calculated values
* total energy: -2.70 eV/atom
* symmetry: Cmmm
* density: 3.32 g/cm³
* V: 18.68 Å³/atom
* E_form: -0.006 eV per atom

7.
Compound: BaSiW2
Source: Alexandria via LeMat-Bulk
Functional: PBE
Structure: relaxed Values from VASP.

Cell and atoms, written as Quantum ESPRESSO input:
```
&SYSTEM
  ibrav = 0, nat = 4, ntyp = 3
/
ATOMIC_SPECIES
Ba 137.33 Ba.upf
Si 28.09 Si.upf
W 183.84 W.upf
CELL_PARAMETERS angstrom
4.095 0.000 0.000
0.000 1.693 6.870
0.000 -1.693 6.870
ATOMIC_POSITIONS crystal
Ba 0.000 0.000 0.000
Si 0.500 0.635 0.635
W 0.000 0.752 0.752
W 0.500 0.273 0.273
```

Calculated values
* total energy: -7.90 eV/atom
* distance to the lowest polymorph of the same formula: 0.0 meV/atom
* symmetry: Amm2
* energy relative to the elements, uncorrected: 416 meV per atom
* density: 9.29 g/cm³
* V: 23.81 Å³/atom

8.
Compound: DyMnWC3
Source: Alexandria via LeMat-Bulk
Functional: PBE
Structure: relaxed Values from VASP.

Cell and atoms, written as Quantum ESPRESSO input:
```
&SYSTEM
  ibrav = 0, nat = 12, ntyp = 4
/
ATOMIC_SPECIES
Dy 162.50 Dy.upf
Mn 54.94 Mn.upf
W 183.84 W.upf
C 12.01 C.upf
CELL_PARAMETERS angstrom
6.685 0.000 0.000
0.000 3.264 0.000
-1.705 0.000 7.136
ATOMIC_POSITIONS crystal
Dy 0.180 0.250 0.198
Dy 0.820 0.750 0.802
Mn 0.108 0.250 0.604
Mn 0.892 0.750 0.396
W 0.351 0.750 0.866
W 0.649 0.250 0.134
C 0.122 0.250 0.859
C 0.179 0.750 0.527
C 0.441 0.750 0.159
C 0.559 0.250 0.841
C 0.821 0.250 0.473
C 0.878 0.750 0.141
```

Calculated values
* total energy: -9.02 eV/atom
* symmetry: P2_1/m
* density: 9.33 g/cm³
* V: 12.97 Å³/atom
* E_form: 0.046 eV per atom

9.
Compound: NdPuCdRu
Source: Alexandria via LeMat-Bulk
Functional: PBE
Structure: relaxed Values from VASP.

Cell and atoms, written as Quantum ESPRESSO input:
```
&SYSTEM
  ibrav = 0, nat = 4, ntyp = 4
/
ATOMIC_SPECIES
Nd 144.24 Nd.upf
Pu 244.00 Pu.upf
Cd 112.41 Cd.upf
Ru 101.07 Ru.upf
CELL_PARAMETERS angstrom
3.387 0.000 0.000
0.000 3.387 0.000
0.000 0.000 8.408
ATOMIC_POSITIONS crystal
Nd 0.000 0.000 0.000
Pu 0.000 0.000 0.585
Cd 0.500 0.500 0.297
Ru 0.500 0.500 0.775
```

Calculated values
* total energy: -7.48 eV/atom
* distance to the lowest polymorph of the same formula: 0.0 meV/atom
* symmetry: P4mm
* density: 10.36 g/cm³
* V: 24.11 Å³/atom
* E_form: -0.155 eV per atom

10.
Compound: GeB2Rh2
Source: Alexandria via LeMat-Bulk
Functional: PBE
Structure: relaxed Values from VASP.

Cell and atoms, written as Quantum ESPRESSO input:
```
&SYSTEM
  ibrav = 0, nat = 10, ntyp = 3
/
ATOMIC_SPECIES
Ge 72.64 Ge.upf
B 10.81 B.upf
Rh 102.91 Rh.upf
CELL_PARAMETERS angstrom
6.562 0.000 0.000
0.000 6.562 0.000
0.000 0.000 2.726
ATOMIC_POSITIONS crystal
Ge 0.000 0.000 0.000
Ge 0.500 0.500 0.000
B 0.098 0.402 0.500
B 0.402 0.902 0.500
B 0.598 0.098 0.500
B 0.902 0.598 0.500
Rh 0.179 0.679 0.000
Rh 0.321 0.179 0.000
Rh 0.679 0.821 0.000
Rh 0.821 0.321 0.000
```

Calculated values
* total energy: -6.35 eV/atom
* distance to the lowest polymorph of the same formula: 373.1 meV/atom
* symmetry: P4/mbm
* density: 8.49 g/cm³
* V: 11.74 Å³/atom
* E_form: 0.185 eV per atom

11.
Compound: POs
Source: Alexandria via LeMat-Bulk
Functional: PBE
Structure: relaxed Values from VASP.

Cell and atoms, written as Quantum ESPRESSO input:
```
&SYSTEM
  ibrav = 0, nat = 4, ntyp = 2
/
ATOMIC_SPECIES
P 30.97 P.upf
Os 190.23 Os.upf
CELL_PARAMETERS angstrom
1.402 -2.400 0.000
1.402 2.400 0.000
0.000 0.000 9.854
ATOMIC_POSITIONS crystal
P 0.250 0.750 0.815
P 0.750 0.250 0.185
Os 0.250 0.750 0.377
Os 0.750 0.250 0.623
```

Calculated values
* total energy: -7.84 eV/atom
* symmetry: Cmme
* density: 11.07 g/cm³
* V: 16.59 Å³/atom
* E_form: 0.484 eV per atom

12.
Compound: ZnGaPt
Source: Alexandria via LeMat-Bulk
Functional: PBE
Structure: relaxed Values from VASP.

Cell and atoms, written as Quantum ESPRESSO input:
```
&SYSTEM
  ibrav = 0, nat = 6, ntyp = 3
/
ATOMIC_SPECIES
Zn 65.41 Zn.upf
Ga 69.72 Ga.upf
Pt 195.08 Pt.upf
CELL_PARAMETERS angstrom
3.537 0.000 0.000
0.000 3.537 0.000
0.000 0.000 7.634
ATOMIC_POSITIONS crystal
Zn 0.250 0.750 0.000
Zn 0.750 0.250 0.000
Ga 0.250 0.250 0.388
Ga 0.750 0.750 0.612
Pt 0.250 0.250 0.732
Pt 0.750 0.750 0.268
```

Calculated values
* total energy: -3.91 eV/atom
* symmetry: P4/nmm
* density: 11.48 g/cm³
* V: 15.91 Å³/atom
* E_form: -0.461 eV per atom

13.
Compound: SrZrTl2
Source: Alexandria via LeMat-Bulk
Functional: PBE
Structure: relaxed Values from VASP.

Cell and atoms, written as Quantum ESPRESSO input:
```
&SYSTEM
  ibrav = 0, nat = 4, ntyp = 3
/
ATOMIC_SPECIES
Sr 87.62 Sr.upf
Zr 91.22 Zr.upf
Tl 204.38 Tl.upf
CELL_PARAMETERS angstrom
-2.058 2.331 6.355
2.058 -2.331 6.355
2.058 2.331 -6.355
ATOMIC_POSITIONS crystal
Sr 0.000 0.000 0.000
Zr 0.745 0.245 0.500
Tl 0.218 0.718 0.500
Tl 0.403 0.403 0.000
```

Calculated values
* total energy: -3.71 eV/atom
* symmetry: Imm2
* density: 8.00 g/cm³
* V: 30.49 Å³/atom
* E_form: 0.030 eV per atom

14.
Compound: MgB3S
Source: Alexandria via LeMat-Bulk
Functional: PBE
Structure: relaxed Values from VASP.

Cell and atoms, written as Quantum ESPRESSO input:
```
&SYSTEM
  ibrav = 0, nat = 5, ntyp = 3
/
ATOMIC_SPECIES
Mg 24.30 Mg.upf
B 10.81 B.upf
S 32.06 S.upf
CELL_PARAMETERS angstrom
4.410 0.000 0.000
0.000 4.410 0.000
0.000 0.000 4.410
ATOMIC_POSITIONS crystal
Mg 0.000 0.000 0.000
B 0.000 0.000 0.500
B 0.000 0.500 0.000
B 0.500 0.000 0.000
S 0.500 0.500 0.500
```

Calculated values
* total energy: -2.72 eV/atom
* distance to the lowest polymorph of the same formula: 923.6 meV/atom
* symmetry: Pm-3m
* energy relative to the elements, uncorrected: 2430 meV per atom
* density: 1.72 g/cm³
* V: 17.16 Å³/atom

15.
Compound: CaLa2Cd
Source: Alexandria via LeMat-Bulk
Functional: PBE
Structure: relaxed Values from VASP.

Cell and atoms, written as Quantum ESPRESSO input:
```
&SYSTEM
  ibrav = 0, nat = 8, ntyp = 3
/
ATOMIC_SPECIES
Ca 40.08 Ca.upf
La 138.91 La.upf
Cd 112.41 Cd.upf
CELL_PARAMETERS angstrom
-4.670 4.670 3.300
4.670 -4.670 3.300
4.670 4.670 -3.300
ATOMIC_POSITIONS crystal
Ca 0.000 0.000 0.000
Ca 0.750 0.250 0.500
La 0.166 0.625 0.041
La 0.375 0.416 0.541
La 0.584 0.125 0.959
La 0.875 0.834 0.459
Cd 0.250 0.750 0.500
Cd 0.500 0.500 0.000
```

Calculated values
* total energy: -3.11 eV/atom
* symmetry: I-42d
* density: 4.96 g/cm³
* V: 35.99 Å³/atom
* E_form: 0.085 eV per atom